(1)
Below is a relaxed structure of HPb3, with properties calculated at the GGA-PBE level.

Results
Energy above the lowest structure with this stoichiometry in meV/atom: 0
Size of the total moment in μB/atom: 0.00
Total DFT energy (no corrections) in eV per atom: -3.361

Cell: 3.4322 6.0035 9.6488 Å, 90.00 90.00 90.00°
Closest atoms and distances in Å follow each position.
Positions (direct):
H 0.0000 0.0000 0.0000  4 Pb 2.42
H 0.5000 0.5000 0.5000  4 Pb 2.42
Pb 0.0000 0.0000 0.5000  10 Pb 3.43-3.56, 4 H 3.46
Pb 0.0000 0.5000 0.3235  2 H 2.42
Pb 0.0000 0.5000 0.6765  2 H 2.42
Pb 0.5000 0.0000 0.1765  2 H 2.42
Pb 0.5000 0.0000 0.8235  2 H 2.42
Pb 0.5000 0.5000 0.0000  10 Pb 3.43-3.56, 4 H 3.46



(2)
Below is a relaxed structure of H2Pb, with properties calculated at the GGA-PBE level.

Results
Size of the total moment in μB/atom: 0.00
Total DFT energy (no corrections) in eV per atom: -2.709

Cell: 3.2932 3.2932 8.6725 Å, 90.00 90.00 120.00°
Closest atoms and distances in Å follow each position.
Positions (direct):
H 0.3333 0.6667 0.0116  3 H 1.91, 1 Pb 2.07
H 0.3333 0.6667 0.4884  3 H 1.91, 1 Pb 2.07
H 0.6667 0.3333 0.5116  3 H 1.91, 1 Pb 2.07
H 0.6667 0.3333 0.9884  3 H 1.91, 1 Pb 2.07
Pb 0.3333 0.6667 0.2500  2 H 2.07
Pb 0.6667 0.3333 0.7500  2 H 2.07



(3)
Below is a relaxed structure of HPb3, with properties calculated at the GGA-PBE level.

Results
Energy above the lowest structure with this stoichiometry in meV/atom: 45
Size of the total moment in μB/atom: 0.00
Total DFT energy (no corrections) in eV per atom: -3.316

Cell: 3.3811 3.5784 8.7958 Å, 90.00 90.00 90.00°
Closest atoms and distances in Å follow each position.
Positions (direct):
H 0.0000 0.0000 0.0000  2 Pb 2.14
Pb 0.0000 0.5000 0.8674  2 H 2.14
Pb 0.5000 0.0000 0.2128  2 H 2.52
Pb 0.5000 0.5000 0.5325  8 Pb 3.33-3.58



(4)
Below is a relaxed structure of HPb8, with properties calculated at the GGA-PBE level.

Results
Size of the total moment in μB/atom: 0.00
Total DFT energy (no corrections) in eV per atom: -3.546

Cell: 7.0325 7.0325 5.9454 Å, 90.00 90.00 120.00°
Closest atoms and distances in Å follow each position.
Positions (direct):
H 0.0000 0.0000 0.0000  6 Pb 2.55
Pb 0.1683 0.3366 0.7449  1 H 2.55
Pb 0.1683 0.8317 0.7449  1 H 2.55
Pb 0.3333 0.6667 0.2384  12 Pb 3.52-3.62
Pb 0.3366 0.1683 0.2551  1 H 2.55
Pb 0.6634 0.8317 0.7449  1 H 2.55
Pb 0.6667 0.3333 0.7616  12 Pb 3.52-3.62
Pb 0.8317 0.1683 0.2551  1 H 2.55
Pb 0.8317 0.6634 0.2551  1 H 2.55